Record 1
The following is a DFT calculation (meta-GGA SCAN) of AgTeRh at its PBEsol-relaxed geometry.

Calculated values
Density   9.18 g cm⁻³
Magnetic moment   0.00 μB/f.u.
Crystal system   cubic
ΔE to the lowest computed polymorph   444.3 meV/atom

Cell lengths 4.423, 4.423, 4.423 Å; angles 60.00, 60.00, 60.00 degrees
Positions (direct):
Ag 0.000 0.000 0.000
Te 0.750 0.750 0.750
Rh 0.250 0.250 0.250



Record 2
The following is a DFT calculation (meta-GGA SCAN) of Ti2AgRh2 at its PBEsol-relaxed geometry.

Calculated values
Density   8.88 g cm⁻³
Magnetic moment   0.00 μB/f.u.
Crystal system   tetragonal
E_tot   -268.22 eV per cell

Cell lengths 7.246, 7.246, 2.916 Å; angles 90.00, 90.00, 90.00 degrees
Positions (direct):
Ti 0.160 0.340 0.000
Ti 0.340 0.840 0.000
Ti 0.660 0.160 0.000
Ti 0.840 0.660 0.000
Ag 0.000 0.000 0.500
Ag 0.500 0.500 0.500
Rh 0.138 0.638 0.500
Rh 0.362 0.138 0.500
Rh 0.638 0.862 0.500
Rh 0.862 0.362 0.500



Record 3
The following is a DFT calculation (meta-GGA SCAN) of Tl2AgRh at its PBEsol-relaxed geometry.

Calculated values
Density   13.28 g cm⁻³
Magnetic moment   0.00 μB/f.u.
Crystal system   orthorhombic
ΔE to the lowest computed polymorph   109.7 meV/atom

Cell lengths 3.397, 3.944, 5.782 Å; angles 90.00, 90.00, 90.00 degrees
Positions (direct):
Tl 0.000 0.000 0.000
Tl 0.500 0.500 0.319
Ag 0.000 0.000 0.534
Rh 0.500 0.500 0.803



Record 4
The following is a DFT calculation (meta-GGA SCAN) of TlAgRh2 at its PBEsol-relaxed geometry.

Calculated values
Density   13.43 g cm⁻³
Magnetic moment   0.01 μB/f.u.
Crystal system   tetragonal
E_tot   -170.35 eV per cell

Cell lengths 4.423, 4.423, 3.276 Å; angles 90.00, 90.00, 90.00 degrees
Positions (direct):
Tl 0.000 0.000 0.000
Ag 0.500 0.500 0.000
Rh 0.000 0.500 0.500
Rh 0.500 0.000 0.500



Record 5
The following is a DFT calculation (meta-GGA SCAN) of TlAgRh at its PBEsol-relaxed geometry.

Calculated values
Density   11.39 g cm⁻³
Magnetic moment   0.00 μB/f.u.
Crystal system   cubic
ΔE to the lowest computed polymorph   28.9 meV/atom

Cell lengths 4.407, 4.407, 4.407 Å; angles 60.00, 60.00, 60.00 degrees
Positions (direct):
Tl 0.000 0.000 0.000
Ag 0.500 0.500 0.500
Rh 0.250 0.250 0.250



Record 6
The following is a DFT calculation (meta-GGA SCAN) of TlAg2Rh at its PBEsol-relaxed geometry.

Calculated values
Density   12.66 g cm⁻³
Magnetic moment   0.00 μB/f.u.
Crystal system   orthorhombic
ΔE to the lowest computed polymorph   83.1 meV/atom

Cell lengths 3.025, 3.861, 5.874 Å; angles 90.00, 90.00, 90.00 degrees
Positions (direct):
Tl 0.000 0.000 0.000
Ag 0.000 0.000 0.519
Ag 0.500 0.500 0.290
Rh 0.500 0.500 0.777



Record 7
The following is a DFT calculation (meta-GGA SCAN) of TlAgRh at its PBEsol-relaxed geometry.

Calculated values
Density   13.22 g cm⁻³
Magnetic moment   0.00 μB/f.u.
Crystal system   tetragonal
ΔE to the lowest computed polymorph   0.0 meV/atom

Cell lengths 5.583, 5.583, 5.583 Å; angles 146.73, 146.73, 47.76 degrees
Positions (direct):
Tl 0.000 0.000 0.000
Ag 0.317 0.317 0.000
Rh 0.655 0.655 0.000



Record 8
The following is a DFT calculation (meta-GGA SCAN) of Tl2AgRh at its PBEsol-relaxed geometry.

Calculated values
Density   13.57 g cm⁻³
Magnetic moment   0.00 μB/f.u.
Crystal system   orthorhombic
ΔE to the lowest computed polymorph   99.8 meV/atom

Cell lengths 3.190, 3.455, 6.880 Å; angles 90.00, 90.00, 90.00 degrees
Positions (direct):
Tl 0.000 0.000 0.233
Tl 0.000 0.000 0.767
Ag 0.500 0.500 0.500
Rh 0.500 0.500 0.000



Record 9
The following is a DFT calculation (meta-GGA SCAN) of TlAg2Rh at its PBEsol-relaxed geometry.

Calculated values
Density   12.85 g cm⁻³
Magnetic moment   0.00 μB/f.u.
Crystal system   tetragonal
ΔE to the lowest computed polymorph   0.0 meV/atom

Cell lengths 3.950, 3.950, 4.332 Å; angles 90.00, 90.00, 90.00 degrees
Positions (direct):
Tl 0.000 0.000 0.000
Ag 0.000 0.500 0.500
Ag 0.500 0.000 0.500
Rh 0.500 0.500 0.000



Record 10
The following is a DFT calculation (meta-GGA SCAN) of Tl2AgRh at its PBEsol-relaxed geometry.

Calculated values
Density   12.60 g cm⁻³
Magnetic moment   0.00 μB/f.u.
Crystal system   monoclinic
ΔE to the lowest computed polymorph   0.0 meV/atom

Cell lengths 6.530, 6.530, 4.496 Å; angles 110.04, 110.04, 27.06 degrees
Positions (direct):
Tl 0.000 0.000 0.000
Tl 0.216 0.216 0.716
Ag 0.398 0.398 0.398
Rh 0.700 0.700 0.200



Record 11
The following is a DFT calculation (meta-GGA SCAN) of Tl2AgRh at its PBEsol-relaxed geometry.

Calculated values
Density   13.65 g cm⁻³
Magnetic moment   0.00 μB/f.u.
Crystal system   tetragonal
ΔE to the lowest computed polymorph   88.7 meV/atom

Cell lengths 5.471, 5.471, 5.471 Å; angles 136.97, 136.97, 62.49 degrees
Positions (direct):
Tl 0.000 0.000 0.000
Tl 0.750 0.250 0.500
Ag 0.500 0.500 0.000
Rh 0.250 0.750 0.500



Record 12
The following is a DFT calculation (meta-GGA SCAN) of AgRhW at its PBEsol-relaxed geometry.

Calculated values
Density   14.17 g cm⁻³
Magnetic moment   0.00 μB/f.u.
Crystal system   orthorhombic
ΔE to the lowest computed polymorph   57.5 meV/atom

Cell lengths 7.359, 7.155, 2.690 Å; angles 83.63, 75.07, 21.30 degrees
Positions (direct):
Ag 0.000 0.000 0.000
Rh 0.328 0.328 0.672
W 0.676 0.676 0.324



Record 13
The following is a DFT calculation (meta-GGA SCAN) of Ag2RhW at its PBEsol-relaxed geometry.

Calculated values
Density   13.34 g cm⁻³
Magnetic moment   0.00 μB/f.u.
Crystal system   orthorhombic
ΔE to the lowest computed polymorph   357.7 meV/atom

Cell lengths 2.778, 4.584, 4.911 Å; angles 90.00, 90.00, 90.00 degrees
Positions (direct):
Ag 0.000 0.000 0.000
Ag 0.500 0.500 0.000
Rh 0.000 0.500 0.500
W 0.500 0.000 0.500



Record 14
The following is a DFT calculation (meta-GGA SCAN) of Ag2RhW at its PBEsol-relaxed geometry.

Calculated values
Density   13.42 g cm⁻³
Magnetic moment   0.00 μB/f.u.
Crystal system   tetragonal
ΔE to the lowest computed polymorph   510.2 meV/atom

Cell lengths 3.713, 3.713, 4.512 Å; angles 90.00, 90.00, 90.00 degrees
Positions (direct):
Ag 0.000 0.500 0.000
Ag 0.500 0.000 0.000
Rh 0.000 0.000 0.500
W 0.500 0.500 0.500



Record 15
The following is a DFT calculation (meta-GGA SCAN) of AgRhW2 at its PBEsol-relaxed geometry.

Calculated values
Density   15.95 g cm⁻³
Magnetic moment   0.00 μB/f.u.
Crystal system   orthorhombic
ΔE to the lowest computed polymorph   0.0 meV/atom

Cell lengths 2.712, 4.095, 5.421 Å; angles 90.00, 90.00, 90.00 degrees
Positions (direct):
Ag 0.000 0.000 0.000
Rh 0.000 0.000 0.500
W 0.500 0.500 0.259
W 0.500 0.500 0.741



Record 16
The following is a DFT calculation (meta-GGA SCAN) of Ag2RhW at its PBEsol-relaxed geometry.

Calculated values
Density   13.44 g cm⁻³
Magnetic moment   0.00 μB/f.u.
Crystal system   trigonal
ΔE to the lowest computed polymorph   0.0 meV/atom

Cell lengths 9.421, 9.421, 9.421 Å; angles 16.96, 16.96, 16.96 degrees
Positions (direct):
Ag 0.000 0.000 0.000
Ag 0.248 0.248 0.248
Rh 0.752 0.752 0.752
W 0.493 0.493 0.493



Record 17
The following is a DFT calculation (meta-GGA SCAN) of Ag2RhW at its PBEsol-relaxed geometry.

Calculated values
Density   13.41 g cm⁻³
Magnetic moment   0.25 μB/f.u.
Crystal system   orthorhombic
ΔE to the lowest computed polymorph   368.3 meV/atom

Cell lengths 2.684, 2.684, 9.561 Å; angles 90.00, 90.00, 115.39 degrees
Positions (direct):
Ag 0.000 0.000 0.245
Ag 0.000 0.000 0.755
Rh 0.500 0.500 0.000
W 0.500 0.500 0.500



Record 18
The following is a DFT calculation (meta-GGA SCAN) of AgRhW2 at its PBEsol-relaxed geometry.

Calculated values
Density   15.95 g cm⁻³
Magnetic moment   0.00 μB/f.u.
Crystal system   tetragonal
ΔE to the lowest computed polymorph   77.4 meV/atom

Cell lengths 3.829, 3.829, 4.107 Å; angles 90.00, 90.00, 90.00 degrees
Positions (direct):
Ag 0.000 0.000 0.000
Rh 0.500 0.500 0.000
W 0.000 0.500 0.500
W 0.500 0.000 0.500



Record 19
The following is a DFT calculation (meta-GGA SCAN) of AgRhW2 at its PBEsol-relaxed geometry.

Calculated values
Density   15.98 g cm⁻³
Magnetic moment   0.00 μB/f.u.
Crystal system   orthorhombic
ΔE to the lowest computed polymorph   36.4 meV/atom

Cell lengths 4.913, 4.913, 2.713 Å; angles 90.00, 90.00, 113.38 degrees
Positions (direct):
Ag 0.000 0.000 0.000
Rh 0.500 0.500 0.000
W 0.000 0.500 0.500
W 0.500 0.000 0.500



Record 20
The following is a DFT calculation (meta-GGA SCAN) of AgRh2W at its PBEsol-relaxed geometry.

Calculated values
Density   14.01 g cm⁻³
Magnetic moment   0.00 μB/f.u.
Crystal system   trigonal
E_tot   -167.79 eV per cell

Cell lengths 9.267, 9.267, 9.267 Å; angles 16.94, 16.94, 16.94 degrees
Positions (direct):
Ag 0.000 0.000 0.000
Rh 0.499 0.499 0.499
Rh 0.752 0.752 0.752
W 0.244 0.244 0.244